(1)
The following is a PBE calculation of a geometry-optimized Tl3Cd2InHg3 structure, from the Alexandria database.

Cell and atoms, written as extended XYZ:
```
9
Lattice="-2.107 -2.639 0.826 -0.364 -2.448 -8.745 6.434 -3.442 5.418" Properties=species:S:1:pos:R:3 pbc="T T T"
Tl 3.420 -3.712 4.180
Tl -1.307 -3.021 -5.667
Tl 0.796 -3.114 -0.600
Hg 2.383 -1.275 2.006
Hg 3.822 -3.709 -2.095
Hg -0.135 -0.907 -3.238
Cd 3.114 -4.430 1.110
Cd 0.848 -4.099 -3.611
In 0.000 0.000 0.000
```

Values from the calculation:
The calculation puts the total magnetization at 0.00 μB/atom. For the formation energy from the elements, the calculation gives 38 meV per atom. As for the space group: No. 189. The crystal system is hexagonal.

***

(2)
The following is a PBE calculation of a geometry-optimized Sr3SiCl2 structure, from the Alexandria database.

Cell and atoms, written as extended XYZ:
```
24
Lattice="6.276 -0.010 0.000 0.014 8.998 0.000 0.000 0.000 13.394" Properties=species:S:1:pos:R:3 pbc="T T T"
Sr 1.571 1.283 7.675
Sr 4.717 7.935 10.055
Sr 4.713 3.506 5.667
Sr 1.573 1.053 3.339
Sr 1.578 5.782 12.417
Sr 1.577 5.482 7.727
Sr 4.719 7.705 5.720
Sr 1.580 5.552 3.358
Sr 1.570 0.983 12.364
Sr 4.710 3.436 10.036
Sr 4.720 8.005 1.030
Sr 4.712 3.206 0.978
Cl 1.572 3.365 10.025
Cl 4.708 1.052 7.773
Cl 1.579 7.864 10.066
Cl 4.711 1.124 3.328
Cl 1.575 3.437 1.076
Cl 1.582 7.936 5.621
Cl 4.715 5.551 12.318
Cl 4.718 5.623 3.369
Si 1.575 3.248 5.467
Si 4.708 1.241 12.164
Si 1.582 7.747 1.231
Si 4.715 5.740 7.928
```

Values from the calculation:
The calculation puts the total magnetization at 0.00 μB/atom. The raw formation energy comes out at -1.370 eV/atom. As for the space group: No. 62. The crystal system is orthorhombic.

***

(3)
The following is a PBE calculation of a geometry-optimized EuAlZn2 structure, from the Alexandria database.

Cell and atoms, written as extended XYZ:
```
4
Lattice="4.814 0.000 0.000 2.407 4.169 0.000 2.407 1.390 3.931" Properties=species:S:1:pos:R:3 pbc="T T T"
Al 4.814 2.779 1.965
Zn 7.221 4.169 2.948
Zn 2.407 1.390 0.983
Eu 0.000 0.000 0.000
```

Values from the calculation:
The calculation puts the total magnetization at 1.71 μB/atom. For the formation energy from the elements, the calculation gives -244 meV per atom. As for the space group: No. 225. The crystal system is cubic.

***

(4)
The following is a PBE calculation of a geometry-optimized In3Ni4 structure, from the Alexandria database.

Cell and atoms, written as extended XYZ:
```
7
Lattice="2.794 -4.839 0.000 2.794 4.839 0.000 0.000 0.000 4.410" Properties=species:S:1:pos:R:3 pbc="T T T"
In 1.397 -2.419 0.000
In 2.794 0.000 0.000
In 1.397 2.419 0.000
Ni 2.794 1.613 2.205
Ni 2.794 -1.613 2.205
Ni 0.000 0.000 3.299
Ni 0.000 0.000 1.111
```

Values from the calculation:
The calculation puts the total magnetization at 0.11 μB/atom. For the formation energy from the elements, the calculation gives 486 meV per atom. As for the space group: No. 191. The crystal system is hexagonal.

***

(5)
The following is a PBE calculation of a geometry-optimized Sr3RuS structure, from the Alexandria database.

Cell and atoms, written as extended XYZ:
```
5
Lattice="5.609 0.000 0.000 0.000 5.609 0.000 0.000 0.000 5.609" Properties=species:S:1:pos:R:3 pbc="T T T"
Sr 2.805 0.000 0.000
Sr 0.000 2.805 0.000
Sr 0.000 0.000 2.805
Ru 2.805 2.805 2.805
S 0.000 0.000 0.000
```

Values from the calculation:
The calculation puts the total magnetization at 0.11 μB/atom. The calculation puts the excess energy over the best structure of this formula in the dataset at 0.0 meV/atom. The raw formation energy comes out at -0.136 eV/atom. As for the space group: No. 221. The crystal system is cubic.

***

(6)
The following is a PBE calculation of a geometry-optimized Tb2TmOs structure, from the Alexandria database.

Cell and atoms, written as extended XYZ:
```
16
Lattice="-1.114 3.346 5.244 5.040 -3.987 3.615 6.436 5.939 -2.423" Properties=species:S:1:pos:R:3 pbc="T T T"
Os 4.820 5.778 1.407
Os 3.503 0.071 0.961
Os 6.859 5.227 5.475
Os 5.543 -0.480 5.029
Tm 6.734 3.854 1.774
Tm 3.629 1.444 4.661
Tm 0.846 4.229 4.093
Tm 9.517 1.070 2.343
Tb 4.334 4.824 4.163
Tb 6.029 0.475 2.272
Tb 7.032 2.295 5.131
Tb 9.444 4.521 4.223
Tb 3.616 -1.751 3.180
Tb 0.918 0.778 2.212
Tb 6.746 7.050 3.255
Tb 3.331 3.004 1.304
```

Values from the calculation:
The calculation puts the total magnetization at 0.00 μB/atom. For the formation energy from the elements, the calculation gives -260 meV per atom. The calculation puts the excess energy over the best structure of this formula in the dataset at 0.0 meV/atom. As for the space group: No. 62. The crystal system is orthorhombic.

***

(7)
The following is a PBE calculation of a geometry-optimized SiP2Ru structure, from the Alexandria database.

Cell and atoms, written as extended XYZ:
```
4
Lattice="-0.805 -1.970 2.112 -2.350 -1.940 -2.706 3.522 -2.668 -1.146" Properties=species:S:1:pos:R:3 pbc="T T T"
P 0.000 0.000 0.000
P -1.578 -1.955 -0.297
Si 0.586 -2.304 -1.926
Ru 1.358 -2.319 0.483
```

Values from the calculation:
The calculation puts the total magnetization at 0.00 μB/atom. The raw formation energy comes out at 0.378 eV/atom. As for the space group: No. 47. The crystal system is orthorhombic.

***

(8)
The following is a PBE calculation of a geometry-optimized Hf3SeBr structure, from the Alexandria database.

Cell and atoms, written as extended XYZ:
```
5
Lattice="5.000 0.000 0.000 0.000 5.000 0.000 0.000 0.000 5.000" Properties=species:S:1:pos:R:3 pbc="T T T"
Se 0.000 0.000 0.000
Hf 2.500 0.000 0.000
Hf 0.000 2.500 0.000
Hf 0.000 0.000 2.500
Br 2.500 2.500 2.500
```

Values from the calculation:
The calculation puts the total magnetization at 0.00 μB/atom. The calculation puts the excess energy over the best structure of this formula in the dataset at 0.0 meV/atom. The raw formation energy comes out at 0.508 eV/atom. As for the space group: No. 221. The crystal system is cubic.

***

> Number 4 is which compound?

In3Ni4